1.
## RbErHgS3 (GGA-PBE)

Data for a relaxed RbErHgS3 crystal.

Summary:
For the total energy, the calculation gives -51.15 eV for the cell shown.

a b c (Å): 8.402 4.110 10.470
angles (deg): 90.00 109.75 90.00
Fractional coordinates of all 12 atoms:
Er  0.677  0.250  0.131
Er  0.323  0.750  0.869
Hg  0.908  0.750  0.383
Hg  0.092  0.250  0.617
Rb  0.255  0.250  0.272
Rb  0.745  0.750  0.728
S  0.464  0.750  0.135
S  0.906  0.750  0.144
S  0.752  0.250  0.436
S  0.248  0.750  0.564
S  0.094  0.250  0.856
S  0.536  0.250  0.865



2.
## RbErHgS3 (GGA-PBE)

Data for a relaxed RbErHgS3 crystal.

Summary:
For the total energy, the calculation gives -50.60 eV for the cell shown.

a b c (Å): 9.032 9.032 9.037
angles (deg): 101.82 101.82 25.90
Fractional coordinates of all 12 atoms:
Er  0.169  0.169  0.072
Er  0.831  0.831  0.928
Hg  0.514  0.514  0.226
Hg  0.486  0.486  0.774
Rb  0.854  0.854  0.432
Rb  0.146  0.146  0.568
S  0.000  0.000  0.000
S  0.327  0.327  0.127
S  0.666  0.666  0.271
S  0.500  0.500  0.500
S  0.334  0.334  0.729
S  0.673  0.673  0.873



3.
## RbErHgTe3 (GGA-PBE)

Data for a relaxed RbErHgTe3 crystal.

Summary:
For the total energy, the calculation gives -41.77 eV for the cell shown.

a b c (Å): 9.251 4.483 11.320
angles (deg): 90.00 109.80 90.00
Fractional coordinates of all 12 atoms:
Er  0.322  0.750  0.364
Er  0.678  0.250  0.636
Hg  0.080  0.250  0.117
Hg  0.920  0.750  0.883
Rb  0.752  0.750  0.215
Rb  0.248  0.250  0.785
Te  0.250  0.750  0.063
Te  0.544  0.250  0.355
Te  0.088  0.250  0.366
Te  0.912  0.750  0.634
Te  0.456  0.750  0.645
Te  0.750  0.250  0.937



4.
## RbErHgTe3 (GGA-PBE)

Data for a relaxed RbErHgTe3 crystal.

Summary:
For the total energy, the calculation gives -40.80 eV for the cell shown.

a b c (Å): 10.349 10.349 9.888
angles (deg): 100.91 100.91 24.73
Fractional coordinates of all 12 atoms:
Er  0.175  0.175  0.073
Er  0.825  0.825  0.927
Hg  0.525  0.525  0.220
Hg  0.475  0.475  0.780
Rb  0.856  0.856  0.434
Rb  0.144  0.144  0.566
Te  0.000  0.000  0.000
Te  0.327  0.327  0.137
Te  0.672  0.672  0.284
Te  0.500  0.500  0.500
Te  0.328  0.328  0.716
Te  0.673  0.673  0.863



5.
## Er2HgS4 (GGA-PBE)

Data for a relaxed Er2HgS4 crystal.

Summary:
For the total energy, the calculation gives -73.23 eV for the cell shown.

a b c (Å): 7.948 7.948 7.948
angles (deg): 60.00 60.00 60.00
Fractional coordinates of all 14 atoms:
Er  0.625  0.625  0.125
Er  0.625  0.125  0.625
Er  0.125  0.625  0.625
Er  0.625  0.625  0.625
Hg  0.000  0.000  0.000
Hg  0.250  0.250  0.250
S  0.384  0.384  0.384
S  0.849  0.384  0.384
S  0.384  0.849  0.384
S  0.866  0.866  0.401
S  0.384  0.384  0.849
S  0.866  0.401  0.866
S  0.401  0.866  0.866
S  0.866  0.866  0.866



6.
## ErHgSb (GGA-PBE)

Data for a relaxed ErHgSb crystal.

Summary:
For the total energy, the calculation gives -9.55 eV for the cell shown.

a b c (Å): 5.090 5.090 5.090
angles (deg): 60.00 60.00 60.00
Fractional coordinates of all 3 atoms:
Er  0.250  0.250  0.250
Hg  0.750  0.750  0.750
Sb  0.000  0.000  0.000



7.
## ErScHg (GGA-PBE)

Data for a relaxed ErScHg crystal.

Summary:
The calculation puts the distance to the lowest polymorph of the same formula at 0.00 eV per formula unit.

a b c (Å): 4.918 4.918 4.918
angles (deg): 60.00 60.00 60.00
Fractional coordinates of all 3 atoms:
Er  0.250  0.250  0.250
Hg  0.000  0.000  0.000
Sc  0.750  0.750  0.750



8.
## ErScHg6 (GGA-PBE)

Data for a relaxed ErScHg6 crystal.

Summary:
For the total energy, the calculation gives -14.87 eV for the cell shown.

a b c (Å): 6.521 6.521 4.948
angles (deg): 90.00 90.00 120.00
Fractional coordinates of all 8 atoms:
Er  0.000  0.000  0.000
Hg  0.008  0.504  0.000
Hg  0.496  0.504  0.000
Hg  0.496  0.992  0.000
Hg  0.333  0.167  0.500
Hg  0.833  0.167  0.500
Hg  0.833  0.667  0.500
Sc  0.333  0.667  0.500